Record 1
A plane-wave DFT calculation with PBE-GGA was carried out for a geometry-optimized Zr2Ti5NbIr2 structure.

Computed properties:
crystal system	tetragonal
ΔE_f	-0.31	eV per atom
spin magnetization	0.00	μB per atom

Cell and atoms, written as extended XYZ:
```
20
Lattice="10.566 0.000 0.000 0.000 10.566 0.000 0.000 0.000 3.296" Properties=species:S:1:pos:R:3 pbc="T T T"
Zr 1.874 3.410 0.000
Zr 3.410 8.693 0.000
Zr 7.157 1.874 0.000
Zr 8.693 7.157 0.000
Ti 0.000 5.283 1.648
Ti 0.585 8.456 1.648
Ti 2.110 0.585 1.648
Ti 3.173 5.869 1.648
Ti 4.698 3.173 1.648
Ti 5.283 0.000 1.648
Ti 5.869 7.393 1.648
Ti 7.393 4.698 1.648
Ti 8.456 9.981 1.648
Ti 9.981 2.110 1.648
Nb 0.000 0.000 0.000
Nb 5.283 5.283 0.000
Ir 1.366 6.649 0.000
Ir 3.917 1.366 0.000
Ir 6.649 9.201 0.000
Ir 9.201 3.917 0.000
```

---

Record 2
A plane-wave DFT calculation with PBE-GGA was carried out for a geometry-optimized NbTlIr2 structure.

Computed properties:
E above lowest polymorph	0.00	eV per formula unit
crystal system	cubic
ΔE_f	0.19	eV per atom
spin magnetization	0.00	μB per atom

Cell and atoms, written as extended XYZ:
```
4
Lattice="0.000 3.266 3.266 3.266 0.000 3.266 3.266 3.266 0.000" Properties=species:S:1:pos:R:3 pbc="T T T"
Nb 0.000 0.000 0.000
Tl 3.266 3.266 3.266
Ir 1.633 1.633 1.633
Ir 4.899 4.899 4.899
```